(1)
Computed, not measured: a geometry-optimized NaPmMgBr6 structure at the GGA-PBE level of DFT.

Fermi-level density of states	0.0	states/eV per cell
calculated total energy	-65.3	eV for the cell shown

Cell and atoms, written as CIF:
```
data_NaPmMgBr6
_chemical_formula_sum 'Na2 Pm2 Mg2 Br12'
_symmetry_space_group_name_H-M 'P -3 1 c'
_symmetry_Int_Tables_number 163
_symmetry_space_group_name_Hall '-P 3 2c'
_cell_length_a 7.1596
_cell_length_b 7.1596
_cell_length_c 13.3261
_cell_angle_alpha 90.00
_cell_angle_beta 90.00
_cell_angle_gamma 120.00
loop_
_atom_site_label
_atom_site_fract_x
_atom_site_fract_y
_atom_site_fract_z
Na1 0.0000 0.0000 0.0000
Pm1 0.3333 0.6667 0.2500
Mg1 0.3333 0.6667 0.7500
Br1 0.0192 0.3652 0.6314
```

---

(2)
Computed, not measured: a geometry-optimized NaPrMgBr6 structure at the GGA-PBE level of DFT.

Fermi-level density of states	0.0	states/eV per cell
calculated total energy	-65.3	eV for the cell shown

Cell and atoms, written as CIF:
```
data_NaPrMgBr6
_chemical_formula_sum 'Na2 Pr2 Mg2 Br12'
_symmetry_space_group_name_H-M 'P -3 1 c'
_symmetry_Int_Tables_number 163
_symmetry_space_group_name_Hall '-P 3 2c'
_cell_length_a 7.2224
_cell_length_b 7.2224
_cell_length_c 13.3023
_cell_angle_alpha 90.00
_cell_angle_beta 90.00
_cell_angle_gamma 120.00
loop_
_atom_site_label
_atom_site_fract_x
_atom_site_fract_y
_atom_site_fract_z
Na1 0.0000 0.0000 0.0000
Pr1 0.3333 0.6667 0.2500
Mg1 0.3333 0.6667 0.7500
Br1 0.0234 0.3662 0.6310
```

---

(3)
Computed, not measured: a geometry-optimized Na2PuMgBr8 structure at the GGA-PBE level of DFT.

Fermi-level density of states	8.9	states/eV per cell
calculated total energy	-48.5	eV for the cell shown

Cell and atoms, written as CIF:
```
data_Na2PuMgBr8
_chemical_formula_sum 'Na2 Pu1 Mg1 Br8'
_symmetry_space_group_name_H-M 'P 1 2/m 1'
_symmetry_Int_Tables_number 10
_cell_length_a 6.7165
_cell_length_b 8.4408
_cell_length_c 7.0076
_cell_angle_alpha 90.00
_cell_angle_beta 95.60
_cell_angle_gamma 90.00
loop_
_symmetry_equiv_pos_as_xyz
'x,y,z'
'-x,-y,-z'
'-x,y,-z'
'x,-y,z'
loop_
_atom_site_label
_atom_site_fract_x
_atom_site_fract_y
_atom_site_fract_z
Na1 0.0000 0.2331 0.0000
Pu1 0.5000 0.5000 0.5000
Mg1 0.5000 0.0000 0.5000
Br1 0.2476 0.5000 0.1657
Br2 0.2574 0.0000 0.1921
Br3 0.2816 0.2534 0.6455
```

---

(4)
Computed, not measured: a geometry-optimized RbNaMg2Br6 structure at the GGA-PBE level of DFT.

Fermi-level density of states	0.0	states/eV per cell
calculated total energy	-122.4	eV for the cell shown

Cell and atoms, written as CIF:
```
data_RbNaMg2Br6
_chemical_formula_sum 'Rb4 Na4 Mg8 Br24'
_symmetry_space_group_name_H-M 'C 1 2/c 1'
_symmetry_Int_Tables_number 15
_cell_length_a 14.2664
_cell_length_b 14.4015
_cell_length_c 7.3911
_cell_angle_alpha 90.00
_cell_angle_beta 99.15
_cell_angle_gamma 90.00
loop_
_symmetry_equiv_pos_as_xyz
'x,y,z'
'-x,-y,-z'
'-x,y,-z+1/2'
'x,-y,z+1/2'
'x+1/2,y+1/2,z'
'-x+1/2,-y+1/2,-z'
'-x+1/2,y+1/2,-z+1/2'
'x+1/2,-y+1/2,z+1/2'
loop_
_atom_site_label
_atom_site_fract_x
_atom_site_fract_y
_atom_site_fract_z
Rb1 0.0000 0.1005 0.2500
Na1 0.0000 0.2820 0.7500
Mg1 0.1989 0.4178 0.2758
Br1 0.1164 0.2858 0.1054
Br2 0.1251 0.1029 0.6846
Br3 0.1496 0.4312 0.5972
```

---

(5)
Computed, not measured: a geometry-optimized RbNaMgBr4 structure at the GGA-PBE level of DFT.

Fermi-level density of states	0.0	states/eV per cell
calculated total energy	-43.0	eV for the cell shown

Cell and atoms, written as CIF:
```
data_RbNaMgBr4
_chemical_formula_sum 'Rb2 Na2 Mg2 Br8'
_symmetry_space_group_name_H-M 'P 1 21/m 1'
_symmetry_Int_Tables_number 11
_cell_length_a 7.3806
_cell_length_b 7.6718
_cell_length_c 9.2705
_cell_angle_alpha 90.00
_cell_angle_beta 106.81
_cell_angle_gamma 90.00
loop_
_symmetry_equiv_pos_as_xyz
'x,y,z'
'-x,-y,-z'
'-x,y+1/2,-z'
'x,-y+1/2,z'
loop_
_atom_site_label
_atom_site_fract_x
_atom_site_fract_y
_atom_site_fract_z
Rb1 0.2428 0.2500 0.0546
Na1 0.2142 0.2500 0.5549
Mg1 0.2435 0.7500 0.3301
Br1 0.0082 0.5023 0.2823
Br2 0.4323 0.7500 0.1458
Br3 0.4715 0.7500 0.5861
```

---

(6)
Computed, not measured: a geometry-optimized Na2MgScBr structure at the GGA-PBE level of DFT.

Fermi-level density of states	6.2	states/eV per cell
calculated total energy	-12.5	eV for the cell shown

Cell and atoms, written as CIF:
```
data_Na2MgScBr
_chemical_formula_sum 'Na2 Mg1 Sc1 Br1'
_symmetry_space_group_name_H-M 'P 4/m m m'
_symmetry_Int_Tables_number 123
_symmetry_space_group_name_Hall '-P 4 2'
_cell_length_a 5.4098
_cell_length_b 5.4098
_cell_length_c 5.3545
_cell_angle_alpha 90.00
_cell_angle_beta 90.00
_cell_angle_gamma 90.00
loop_
_atom_site_label
_atom_site_fract_x
_atom_site_fract_y
_atom_site_fract_z
Na1 0.0000 0.5000 0.0000
Mg1 0.0000 0.0000 0.5000
Sc1 0.5000 0.5000 0.5000
Br1 0.5000 0.5000 0.0000
```

---

(7)
Computed, not measured: a geometry-optimized NaMgSe2Br structure at the GGA-PBE level of DFT.

Fermi-level density of states	5.8	states/eV per cell
calculated total energy	-14.6	eV for the cell shown

Cell and atoms, written as CIF:
```
data_NaMgSe2Br
_chemical_formula_sum 'Na1 Mg1 Se2 Br1'
_symmetry_space_group_name_H-M 'P 4/m m m'
_symmetry_Int_Tables_number 123
_symmetry_space_group_name_Hall '-P 4 2'
_cell_length_a 5.0757
_cell_length_b 5.0757
_cell_length_c 5.6009
_cell_angle_alpha 90.00
_cell_angle_beta 90.00
_cell_angle_gamma 90.00
loop_
_atom_site_label
_atom_site_fract_x
_atom_site_fract_y
_atom_site_fract_z
Na1 0.0000 0.0000 0.0000
Mg1 0.5000 0.5000 0.5000
Se1 0.0000 0.5000 0.5000
Br1 0.5000 0.5000 0.0000
```

---

(8)
Computed, not measured: a geometry-optimized NaMgSeBr2 structure at the GGA-PBE level of DFT.

Fermi-level density of states	3.4	states/eV per cell
calculated total energy	-14.4	eV for the cell shown

Cell and atoms, written as CIF:
```
data_NaMgSeBr2
_chemical_formula_sum 'Na1 Mg1 Se1 Br2'
_symmetry_space_group_name_H-M 'P 4/m m m'
_symmetry_Int_Tables_number 123
_symmetry_space_group_name_Hall '-P 4 2'
_cell_length_a 5.3787
_cell_length_b 5.3787
_cell_length_c 5.1689
_cell_angle_alpha 90.00
_cell_angle_beta 90.00
_cell_angle_gamma 90.00
loop_
_atom_site_label
_atom_site_fract_x
_atom_site_fract_y
_atom_site_fract_z
Na1 0.0000 0.0000 0.0000
Mg1 0.5000 0.5000 0.5000
Se1 0.5000 0.5000 0.0000
Br1 0.0000 0.5000 0.5000
```

---

(9)
Computed, not measured: a geometry-optimized NaMgSeBr structure at the GGA-PBE level of DFT.

Fermi-level density of states	0.0	states/eV per cell
calculated total energy	-79.4	eV for the cell shown

Cell and atoms, written as CIF:
```
data_NaMgSeBr
_chemical_formula_sum 'Na6 Mg6 Se6 Br6'
_symmetry_space_group_name_H-M 'R -3 m'
_symmetry_Int_Tables_number 166
_symmetry_space_group_name_Hall '-R 3 2"'
_cell_length_a 4.6897
_cell_length_b 4.6897
_cell_length_c 34.7832
_cell_angle_alpha 90.00
_cell_angle_beta 90.00
_cell_angle_gamma 120.00
loop_
_atom_site_label
_atom_site_fract_x
_atom_site_fract_y
_atom_site_fract_z
Na1 0.0000 0.0000 0.1157
Mg1 0.0000 0.0000 0.2981
Se1 0.0000 0.0000 0.3747
Br1 0.0000 0.0000 0.2108
```

---

(10)
Computed, not measured: a geometry-optimized NaMgSe2Br structure at the GGA-PBE level of DFT.

Fermi-level density of states	5.0	states/eV per cell
calculated total energy	-11.2	eV for the cell shown

Cell and atoms, written as CIF:
```
data_NaMgSe2Br
_chemical_formula_sum 'Na1 Mg1 Se2 Br1'
_symmetry_space_group_name_H-M 'P 4/m m m'
_symmetry_Int_Tables_number 123
_symmetry_space_group_name_Hall '-P 4 2'
_cell_length_a 5.1069
_cell_length_b 5.1069
_cell_length_c 5.4070
_cell_angle_alpha 90.00
_cell_angle_beta 90.00
_cell_angle_gamma 90.00
loop_
_atom_site_label
_atom_site_fract_x
_atom_site_fract_y
_atom_site_fract_z
Na1 0.0000 0.0000 0.0000
Mg1 0.5000 0.5000 0.5000
Se1 0.0000 0.5000 0.0000
Br1 0.0000 0.0000 0.5000
```

---

(11)
Computed, not measured: a geometry-optimized NaMgSeBr2 structure at the GGA-PBE level of DFT.

Fermi-level density of states	3.2	states/eV per cell
calculated total energy	-11.0	eV for the cell shown

Cell and atoms, written as CIF:
```
data_NaMgSeBr2
_chemical_formula_sum 'Na1 Mg1 Se1 Br2'
_symmetry_space_group_name_H-M 'P 4/m m m'
_symmetry_Int_Tables_number 123
_symmetry_space_group_name_Hall '-P 4 2'
_cell_length_a 5.2198
_cell_length_b 5.2198
_cell_length_c 5.5005
_cell_angle_alpha 90.00
_cell_angle_beta 90.00
_cell_angle_gamma 90.00
loop_
_atom_site_label
_atom_site_fract_x
_atom_site_fract_y
_atom_site_fract_z
Na1 0.0000 0.0000 0.0000
Mg1 0.5000 0.5000 0.5000
Se1 0.0000 0.0000 0.5000
Br1 0.0000 0.5000 0.0000
```

---

(12)
Computed, not measured: a geometry-optimized NaSmMgBr6 structure at the GGA-PBE level of DFT.

Fermi-level density of states	0.0	states/eV per cell
calculated total energy	-65.2	eV for the cell shown

Cell and atoms, written as CIF:
```
data_NaSmMgBr6
_chemical_formula_sum 'Na2 Sm2 Mg2 Br12'
_symmetry_space_group_name_H-M 'P -3 1 c'
_symmetry_Int_Tables_number 163
_symmetry_space_group_name_Hall '-P 3 2c'
_cell_length_a 7.1447
_cell_length_b 7.1447
_cell_length_c 13.3247
_cell_angle_alpha 90.00
_cell_angle_beta 90.00
_cell_angle_gamma 120.00
loop_
_atom_site_label
_atom_site_fract_x
_atom_site_fract_y
_atom_site_fract_z
Na1 0.0000 0.0000 0.0000
Sm1 0.3333 0.6667 0.2500
Mg1 0.3333 0.6667 0.7500
Br1 0.0176 0.3650 0.6317
```

---

Raw formation energy values, unit eV/f.u., following the record order: -14.940; -14.896; -16.587; -15.095; -10.931; -0.229; -3.031; -4.651; -5.170; 0.330; -1.240; -14.944.